Density functional theory data (PBE-GGA) for Tl3Ru after structural relaxation.

Calculated values
calculated formation energy: 0.4089 eV/atom
relative energy among the computed polymorphs: 167 meV per atom
SG: Imm2 (44)
magnetic moment: 0.00 μB per formula unit
calculated density: 12.18 g cm⁻³

Unit cell a=5.651 b=5.651 c=5.651 alpha=143.28 beta=112.18 gamma=79.68
Fractional positions:
1 Ru 0.925 0.000 0.925
2 Tl 0.588 0.500 0.088
3 Tl 0.967 0.307 0.660
4 Tl 0.353 0.693 0.660

Density functional theory data (PBE-GGA) for Tl4Ru after structural relaxation.

Calculated values
calculated formation energy: 0.8162 eV/atom
relative energy among the computed polymorphs: 586 meV per atom
SG: I4/mmm (139)
magnetic moment: 1.79 μB per formula unit
calculated density: 10.62 g cm⁻³

Unit cell a=9.094 b=9.094 c=9.094 alpha=154.07 beta=154.07 gamma=37.01
Site moments in Bohr magnetons follow the coordinates.
Fractional positions:
1 Tl 0.750 0.250 0.500  0.00
2 Tl 0.250 0.750 0.500  0.00
3 Tl 0.584 0.584 0.000  -0.01
4 Tl 0.416 0.416 0.000  -0.01
5 Ru 0.000 0.000 0.000  1.75

Density functional theory data (PBE-GGA) for Tl3Ru after structural relaxation.

Calculated values
calculated formation energy: 0.3829 eV/atom
relative energy among the computed polymorphs: 141 meV per atom
SG: P4/mmm (123)
magnetic moment: 0.00 μB per formula unit
calculated density: 12.22 g cm⁻³

Unit cell a=3.296 b=3.296 c=8.934 alpha=90.00 beta=90.00 gamma=90.05
Fractional positions:
1 Ru 0.000 0.000 0.000
2 Tl 0.500 0.500 0.809
3 Tl 0.000 0.000 0.500
4 Tl 0.500 0.500 0.191

Density functional theory data (PBE-GGA) for TlRu after structural relaxation.

Calculated values
calculated formation energy: 0.5488 eV/atom
SG: R-3m (166)
magnetic moment: 0.00 μB per formula unit
calculated density: 10.94 g cm⁻³

Unit cell a=7.057 b=7.057 c=7.057 alpha=33.00 beta=33.00 gamma=33.00
Fractional positions:
1 Ru 0.348 0.348 0.348
2 Ru 0.652 0.652 0.652
3 Tl 0.107 0.107 0.107
4 Tl 0.893 0.893 0.893

Density functional theory data (PBE-GGA) for Tl3Ru after structural relaxation.

Calculated values
calculated formation energy: 0.6418 eV/atom
relative energy among the computed polymorphs: 400 meV per atom
SG: I4/mmm (139)
magnetic moment: 0.77 μB per formula unit
calculated density: 12.95 g cm⁻³

Unit cell a=5.546 b=5.546 c=5.546 alpha=132.26 beta=132.26 gamma=69.81
Site moments in Bohr magnetons follow the coordinates.
Fractional positions:
1 Ru 0.000 0.000 0.000  0.73
2 Tl 0.250 0.750 0.500  0.01
3 Tl 0.500 0.500 0.000  0.01
4 Tl 0.750 0.250 0.500  0.01

Density functional theory data (PBE-GGA) for TlRu after structural relaxation.

Calculated values
calculated formation energy: 0.6309 eV/atom
SG: P2_1/m (11)
magnetic moment: 0.49 μB per formula unit
calculated density: 13.08 g cm⁻³

Unit cell a=4.418 b=3.336 c=5.519 alpha=72.46 beta=90.00 gamma=90.00
Site moments in Bohr magnetons follow the coordinates.
Fractional positions:
1 Ru 0.000 0.817 0.995  0.49
2 Ru 0.500 0.933 0.755  0.49
3 Tl 0.000 0.537 0.549  -0.01
4 Tl 0.500 0.213 0.201  -0.01